1.
Material: Rb3Tl6Hg5
Method: DFT, PBE-GGA
State: relaxed

a b c (Å): 5.3487 11.1862 16.0276
angles (deg): 90.00 90.00 90.00
Last column: nearest neighbours and their distance in Å.
Fractional coordinates of all 28 atoms:
Rb 0.0000 0.2468 0.7019  5 Hg 3.73-4.12, 8 Tl 3.77-3.98
Rb 0.5000 0.7532 0.2019  5 Hg 3.73-4.12, 8 Tl 3.77-3.98
Rb 0.5000 0.7532 0.7981  5 Hg 3.73-4.12, 8 Tl 3.77-3.98
Rb 0.0000 0.2620 0.0000  6 Hg 3.75-4.08, 6 Tl 3.92-4.16
Rb 0.5000 0.7380 0.5000  6 Hg 3.75-4.08, 6 Tl 3.92-4.16
Rb 0.0000 0.2468 0.2981  5 Hg 3.73-4.12, 8 Tl 3.77-3.98
Tl 0.0000 0.9735 0.8610  4 Hg 3.15-3.33, 2 Tl 3.50
Tl 0.5000 0.0265 0.6390  4 Hg 3.15-3.33, 2 Tl 3.50
Tl 0.5000 0.4071 0.8290  4 Hg 3.13-3.24, 1 Tl 3.36
Tl 0.5000 0.5811 0.0000  6 Hg 3.34-3.43, 2 Tl 3.36
Tl 0.0000 0.4189 0.5000  6 Hg 3.34-3.43, 2 Tl 3.36
Tl 0.0000 0.5929 0.6710  4 Hg 3.13-3.24, 1 Tl 3.36
Tl 0.0000 0.5929 0.3290  4 Hg 3.13-3.24, 1 Tl 3.36
Tl 0.5000 0.9444 0.0000  4 Hg 3.26-3.38, 4 Tl 3.50
Tl 0.0000 0.9735 0.1390  4 Hg 3.15-3.33, 2 Tl 3.50
Tl 0.5000 0.4071 0.1710  4 Hg 3.13-3.24, 1 Tl 3.36
Tl 0.0000 0.0556 0.5000  4 Hg 3.26-3.38, 4 Tl 3.50
Tl 0.5000 0.0265 0.3610  4 Hg 3.15-3.33, 2 Tl 3.50
Hg 0.0000 0.5400 0.8688  5 Tl 3.13-3.43, 1 Hg 3.24
Hg 0.0000 0.8822 0.6635  5 Tl 3.15-3.33
Hg 0.0000 0.7602 0.0000  2 Hg 3.24, 6 Tl 3.26-3.38
Hg 0.5000 0.4600 0.6312  5 Tl 3.13-3.43, 1 Hg 3.24
Hg 0.5000 0.2398 0.5000  2 Hg 3.24, 6 Tl 3.26-3.38
Hg 0.0000 0.5400 0.1312  5 Tl 3.13-3.43, 1 Hg 3.24
Hg 0.5000 0.4600 0.3688  5 Tl 3.13-3.43, 1 Hg 3.24
Hg 0.0000 0.8822 0.3365  5 Tl 3.15-3.33
Hg 0.5000 0.1178 0.8365  5 Tl 3.15-3.33
Hg 0.5000 0.1178 0.1635  5 Tl 3.15-3.33

2.
Material: Al3Ga3Ag
Method: DFT, PBE-GGA
State: relaxed

Polymorph energy (0 for the lowest one)   36 meV per atom

a b c (Å): 4.4250 8.1722 8.1722
angles (deg): 120.00 90.00 90.00
Last column: nearest neighbours and their distance in Å.
Fractional coordinates of all 14 atoms:
Al 0.7500 0.6047 0.5028  4 Ga 2.74-3.02, 4 Al 2.78-2.94, 2 Ag 2.79
Al 0.7500 0.4972 0.1019  4 Ga 2.74-3.02, 4 Al 2.78-2.94, 2 Ag 2.79
Al 0.7500 0.8981 0.3953  4 Ga 2.74-3.02, 4 Al 2.78-2.94, 2 Ag 2.79
Al 0.2500 0.3953 0.4972  4 Ga 2.74-3.02, 4 Al 2.78-2.94, 2 Ag 2.79
Al 0.2500 0.5028 0.8981  4 Ga 2.74-3.02, 4 Al 2.78-2.94, 2 Ag 2.79
Al 0.2500 0.1019 0.6047  4 Ga 2.74-3.02, 4 Al 2.78-2.94, 2 Ag 2.79
Ga 0.2500 0.7714 0.7913  4 Al 2.74-3.02, 4 Ga 2.85
Ga 0.2500 0.2087 0.9801  4 Al 2.74-3.02, 4 Ga 2.85
Ga 0.2500 0.0199 0.2286  4 Al 2.74-3.02, 4 Ga 2.85
Ga 0.7500 0.2286 0.2087  4 Al 2.74-3.02, 4 Ga 2.85
Ga 0.7500 0.7913 0.0199  4 Al 2.74-3.02, 4 Ga 2.85
Ga 0.7500 0.9801 0.7714  4 Al 2.74-3.02, 4 Ga 2.85
Ag 0.2500 0.6667 0.3333  9 Al 2.79-3.11
Ag 0.7500 0.3333 0.6667  9 Al 2.79-3.11

Calculated formation energy per entry: -11.5 7.3 kJ per mole of atoms